Below is crystalline Pm5Pb at its relaxed geometry, with properties calculated at the PBE level.

The calculation puts the raw total energy at -4.77 eV per atom. Its energy relative to the elements is -0.192 eV/atom. The density of states at the Fermi level comes out at 1.16 states/eV per atom. For the density, the calculation gives 8.00 g cm⁻³.

The space group is Cmmm (No. 65) and the conventional cell measures 4.9607, 15.6043 and 4.9999 Å, with angles of 90.00, 90.00 and 90.00 degrees. The asymmetric unit holds Pm at (0.0000, 0.0000, 0.0000), Pm at (0.0000, 0.1622, 0.5000), Pm at (0.0000, 0.3350, 0.0000) and Pb at (0.0000, 0.5000, 0.5000).